A crystal of NiPPt2 relaxed with PBEsol. Source: Alexandria, functional SCAN.

The structure belongs to space group Amm2 (No. 38); the cell edges are 3.368, 2.876 and 11.151 Å and the angles 90.00°, 90.00° and 90.00°. The distinct sites, in fractional coordinates, are Ni at (0.000, 0.000, 0.000), P at (0.500, 0.000, 0.435), Pt at (0.000, 0.000, 0.292) and Pt at (0.500, 0.000, 0.638).

For the density of states at the Fermi level, the calculation gives 0.580 states/eV/atom. As for the calculated formation energy: -0.291 eV per atom. The value obtained for the total magnetization is 0.00 μB/cell.

A crystal of NiPPt2 relaxed with PBEsol. Source: Alexandria, functional SCAN.

The structure belongs to space group I4/mmm (No. 139); the cell edges are 3.881, 3.881 and 7.050 Å and the angles 90.00°, 90.00° and 90.00°. The distinct sites, in fractional coordinates, are Ni at (0.000, 0.000, 0.000), P at (0.000, 0.000, 0.500) and Pt at (0.000, 0.500, 0.250).

For the density of states at the Fermi level, the calculation gives 0.925 states/eV/atom. As for the calculated formation energy: 0.017 eV per atom. The value obtained for the total magnetization is 0.00 μB/cell.

A crystal of NiP2Pt relaxed with PBEsol. Source: Alexandria, functional SCAN.

The structure belongs to space group Cm (No. 8); the cell edges are 7.013, 3.350 and 4.867 Å and the angles 90.00°, 90.04° and 90.00°. The distinct sites, in fractional coordinates, are Ni at (0.000, 0.000, 0.000), P at (0.075, 0.500, 0.276), P at (0.288, 0.000, 0.827) and Pt at (0.369, 0.500, 0.501).

For the density of states at the Fermi level, the calculation gives 0.387 states/eV/atom. As for the calculated formation energy: -0.426 eV per atom. The value obtained for the total magnetization is 0.00 μB/cell.

A crystal of RbTaNiP2 relaxed with PBEsol. Source: Alexandria, functional SCAN.

The structure belongs to space group P4/mmm (No. 123); the cell edges are 4.817, 4.817 and 4.870 Å and the angles 90.00°, 90.00° and 90.00°. The distinct sites, in fractional coordinates, are Rb at (0.000, 0.000, 0.000), Ta at (0.500, 0.500, 0.500), Ni at (0.500, 0.500, 0.000) and P at (0.000, 0.500, 0.500).

For the density of states at the Fermi level, the calculation gives 0.627 states/eV/atom. As for the calculated formation energy: 0.220 eV per atom. The value obtained for the total magnetization is 1.08 μB/cell.

A crystal of ReNi2P relaxed with PBEsol. Source: Alexandria, functional SCAN.

The structure belongs to space group Cm (No. 8); the cell edges are 7.927, 2.631 and 4.559 Å and the angles 90.00°, 100.94° and 90.00°. The distinct sites, in fractional coordinates, are Re at (0.000, 0.000, 0.000), Ni at (0.244, 0.000, 0.711), Ni at (0.491, 0.000, 0.495) and P at (0.252, 0.500, 0.281).

For the density of states at the Fermi level, the calculation gives 0.745 states/eV/atom. As for the calculated formation energy: 0.026 eV per atom. The value obtained for the total magnetization is 0.00 μB/cell.

A crystal of Re2NiP relaxed with PBEsol. Source: Alexandria, functional SCAN.

The structure belongs to space group Pmmm (No. 47); the cell edges are 2.953, 4.162 and 4.300 Å and the angles 90.00°, 90.00° and 90.00°. The distinct sites, in fractional coordinates, are Re at (0.000, 0.000, 0.000), Re at (0.500, 0.000, 0.500), Ni at (0.000, 0.500, 0.500) and P at (0.500, 0.500, 0.000).

For the density of states at the Fermi level, the calculation gives 0.826 states/eV/atom. As for the calculated formation energy: 0.422 eV per atom. The value obtained for the total magnetization is 0.00 μB/cell.

A crystal of Re2NiP relaxed with PBEsol. Source: Alexandria, functional SCAN.

The structure belongs to space group P2/m (No. 10); the cell edges are 2.782, 3.736 and 5.156 Å and the angles 90.00°, 102.47° and 90.00°. The distinct sites, in fractional coordinates, are Re at (0.139, 0.000, 0.256), Ni at (0.500, 0.500, 0.000) and P at (0.500, 0.500, 0.500).

For the density of states at the Fermi level, the calculation gives 0.755 states/eV/atom. As for the calculated formation energy: 0.138 eV per atom. The value obtained for the total magnetization is 0.00 μB/cell.

A crystal of ReNi2P relaxed with PBEsol. Source: Alexandria, functional SCAN.

The structure belongs to space group Immm (No. 71); the cell edges are 2.751, 4.053 and 8.267 Å and the angles 90.00°, 90.00° and 90.00°. The distinct sites, in fractional coordinates, are Re at (0.000, 0.000, 0.000), Ni at (0.000, 0.500, 0.219) and P at (0.000, 0.000, 0.500).

For the density of states at the Fermi level, the calculation gives 0.990 states/eV/atom. As for the calculated formation energy: -0.050 eV per atom. The value obtained for the total magnetization is 0.00 μB/cell.

A crystal of ReNi2P relaxed with PBEsol. Source: Alexandria, functional SCAN.

The structure belongs to space group R-3m (No. 166, hexagonal axes); the cell edges are 2.6561, 2.6561 and 23.2209 Å and the angles 90.00°, 90.00° and 120.00°. The distinct sites, in fractional coordinates, are Re at (0.0000, 0.0000, 0.0000), Ni at (0.0000, 0.0000, 0.2407) and P at (0.0000, 0.0000, 0.5000).

For the density of states at the Fermi level, the calculation gives 0.490 states/eV/atom. As for the calculated formation energy: -0.043 eV per atom. The value obtained for the total magnetization is 0.00 μB/cell.

A crystal of ReNiPS2 relaxed with PBEsol. Source: Alexandria, functional SCAN.

The structure belongs to space group P4/mmm (No. 123); the cell edges are 4.234, 4.234 and 4.204 Å and the angles 90.00°, 90.00° and 90.00°. The distinct sites, in fractional coordinates, are Re at (0.000, 0.000, 0.000), Ni at (0.500, 0.500, 0.500), P at (0.500, 0.500, 0.000) and S at (0.000, 0.500, 0.500).

For the density of states at the Fermi level, the calculation gives 0.655 states/eV/atom. As for the polymorph energy (0 for the lowest one): 0.2875 eV per atom. The uncorrected formation energy is 6.0 eV/f.u. The value obtained for the total magnetization is 1.75 μB/cell.

A crystal of ReNiPS2 relaxed with PBEsol. Source: Alexandria, functional SCAN.

The structure belongs to space group P4/mmm (No. 123); the cell edges are 4.508, 4.508 and 4.665 Å and the angles 90.00°, 90.00° and 90.00°. The distinct sites, in fractional coordinates, are Re at (0.000, 0.000, 0.000), Ni at (0.500, 0.500, 0.500), P at (0.000, 0.000, 0.500) and S at (0.000, 0.500, 0.000).

For the density of states at the Fermi level, the calculation gives 0.918 states/eV/atom. As for the polymorph energy (0 for the lowest one): 0.0000 eV per atom. The uncorrected formation energy is 4.5 eV/f.u. The value obtained for the total magnetization is 1.39 μB/cell.

A crystal of Ni2PRh relaxed with PBEsol. Source: Alexandria, functional SCAN.

The structure belongs to space group P4mm (No. 99); the cell edges are 2.912, 2.912 and 5.353 Å and the angles 90.00°, 90.00° and 90.00°. The distinct sites, in fractional coordinates, are Ni at (0.000, 0.000, 0.000), Ni at (0.500, 0.500, 0.231), P at (0.000, 0.000, 0.440) and Rh at (0.500, 0.500, 0.707).

For the density of states at the Fermi level, the calculation gives 0.834 states/eV/atom. As for the calculated formation energy: -0.145 eV per atom. The value obtained for the total magnetization is 0.00 μB/cell.

A crystal of Ni2PRh relaxed with PBEsol. Source: Alexandria, functional SCAN.

The structure belongs to space group Cm (No. 8); the cell edges are 7.785, 3.318 and 4.292 Å and the angles 90.00°, 121.28° and 90.00°. The distinct sites, in fractional coordinates, are Ni at (0.000, 0.000, 0.000), Ni at (0.207, 0.000, 0.693), P at (0.198, 0.500, 0.019) and Rh at (0.408, 0.000, 0.402).

For the density of states at the Fermi level, the calculation gives 0.610 states/eV/atom. As for the calculated formation energy: -0.343 eV per atom. The value obtained for the total magnetization is 0.00 μB/cell.

A crystal of NiP2Rh relaxed with PBEsol. Source: Alexandria, functional SCAN.

The structure belongs to space group P2/m (No. 10); the cell edges are 3.906, 2.843 and 4.830 Å and the angles 90.00°, 113.11° and 90.00°. The distinct sites, in fractional coordinates, are Ni at (0.000, 0.000, 0.000), P at (0.000, 0.000, 0.500), P at (0.500, 0.500, 0.000) and Rh at (0.500, 0.500, 0.500).

For the density of states at the Fermi level, the calculation gives 0.659 states/eV/atom. As for the polymorph energy (0 for the lowest one): 0.0504 eV per atom. As for the calculated formation energy: -0.191 eV per atom. The value obtained for the total magnetization is 0.00 μB/cell.

A crystal of NiP2Rh relaxed with PBEsol. Source: Alexandria, functional SCAN.

The structure belongs to space group R-3m (No. 166, hexagonal axes); the cell edges are 2.8576, 2.8576 and 20.9002 Å and the angles 90.00°, 90.00° and 120.00°. The distinct sites, in fractional coordinates, are Ni at (0.0000, 0.0000, 0.0000), P at (0.0000, 0.0000, 0.2543) and Rh at (0.0000, 0.0000, 0.5000).

For the density of states at the Fermi level, the calculation gives 0.462 states/eV/atom. As for the polymorph energy (0 for the lowest one): 0.0000 eV per atom. As for the calculated formation energy: -0.242 eV per atom. The value obtained for the total magnetization is 0.00 μB/cell.

A crystal of NiPRhS2 relaxed with PBEsol. Source: Alexandria, functional SCAN.

The structure belongs to space group P4/mmm (No. 123); the cell edges are 4.669, 4.669 and 4.294 Å and the angles 90.00°, 90.00° and 90.00°. The distinct sites, in fractional coordinates, are Ni at (0.000, 0.000, 0.000), P at (0.500, 0.500, 0.000), Rh at (0.500, 0.500, 0.500) and S at (0.000, 0.500, 0.500).

For the density of states at the Fermi level, the calculation gives 1.137 states/eV/atom. The uncorrected formation energy is 4.2 eV/f.u. The value obtained for the total magnetization is 1.78 μB/cell.

A crystal of NiP2RhW relaxed with PBEsol. Source: Alexandria, functional SCAN.

The structure belongs to space group P4/mmm (No. 123); the cell edges are 4.120, 4.120 and 4.570 Å and the angles 90.00°, 90.00° and 90.00°. The distinct sites, in fractional coordinates, are Ni at (0.000, 0.000, 0.000), P at (0.000, 0.500, 0.000), Rh at (0.500, 0.500, 0.500) and W at (0.000, 0.000, 0.500).

For the density of states at the Fermi level, the calculation gives 0.948 states/eV/atom. As for the calculated formation energy: 1.197 eV per atom. The value obtained for the total magnetization is 0.01 μB/cell.

A crystal of Ni2PRu relaxed with PBEsol. Source: Alexandria, functional SCAN.

The structure belongs to space group F-43m (No. 216); the cell edges are 5.637, 5.637 and 5.637 Å and the angles 90.00°, 90.00° and 90.00°. The distinct sites, in fractional coordinates, are Ni at (0.000, 0.000, 0.000), Ni at (0.250, 0.250, 0.250), P at (0.250, 0.250, 0.750) and Ru at (0.000, 0.000, 0.500).

For the density of states at the Fermi level, the calculation gives 1.028 states/eV/atom. As for the calculated formation energy: -0.110 eV per atom. The value obtained for the total magnetization is 0.00 μB/cell.

A crystal of Ni2PRu relaxed with PBEsol. Source: Alexandria, functional SCAN.

The structure belongs to space group Immm (No. 71); the cell edges are 2.715, 4.038 and 8.202 Å and the angles 90.00°, 90.00° and 90.00°. The distinct sites, in fractional coordinates, are Ni at (0.000, 0.000, 0.216), P at (0.000, 0.500, 0.500) and Ru at (0.000, 0.500, 0.000).

For the density of states at the Fermi level, the calculation gives 0.846 states/eV/atom. As for the calculated formation energy: -0.189 eV per atom. The value obtained for the total magnetization is 0.00 μB/cell.

A crystal of NiP2Ru relaxed with PBEsol. Source: Alexandria, functional SCAN.

The structure belongs to space group Pmm2 (No. 25); the cell edges are 2.895, 4.351 and 3.884 Å and the angles 90.00°, 90.00° and 90.00°. The distinct sites, in fractional coordinates, are Ni at (0.000, 0.000, 0.000), P at (0.000, 0.500, 0.793), P at (0.500, 0.000, 0.530) and Ru at (0.500, 0.500, 0.304).

For the density of states at the Fermi level, the calculation gives 0.358 states/eV/atom. As for the calculated formation energy: -0.297 eV per atom. The value obtained for the total magnetization is 0.00 μB/cell.